A plane-wave DFT calculation with PBEsol was carried out for a geometry-optimized ScP2Br structure.

Lattice parameters (Å, degrees): 7.227 3.514 7.009 90.00 104.02 90.00
Space group Cm (No. 8)
Unique sites:
Sc: 0.000 0.000 0.000
P: 0.248 0.500 0.214
P: 0.490 0.000 0.308
Br: 0.269 0.000 0.754

E_form (uncorrected), eV per atom: -0.749
ΔE to the lowest computed polymorph, meV per atom: 0.0


A plane-wave DFT calculation with PBEsol was carried out for a geometry-optimized CuCl2F2 structure.

Lattice parameters (Å, degrees): 5.295 5.295 6.166 90.00 90.00 90.00
Space group P4/mbm (No. 127)
Unique sites:
Cu: 0.000 0.000 0.000
Cl: 0.133 0.367 0.500
F: 0.217 0.717 0.000

E_form (uncorrected), eV per atom: -0.762


Number 1: VASP energy -5.76 eV/atom. Number 2: VASP energy -3.20 eV/atom.